Record 1
This record from the Alexandria database describes a relaxed La2Pm2YHo crystal. The functional is PBE-GGA.

a = 5.749 Å, b = 7.141 Å, c = 9.981 Å
α = 90.00°, β = 90.00°, γ = 90.00°
Atoms (fractional coordinates):
Pm 0.500 0.758 0.668
Pm 0.500 0.258 0.332
Pm 0.000 0.757 0.165
Pm 0.000 0.257 0.835
La 0.000 0.258 0.175
La 0.500 0.008 0.001
La 0.000 0.758 0.825
La 0.500 0.508 0.999
Y 0.000 0.007 0.500
Y 0.000 0.507 0.500
Ho 0.500 0.757 0.342
Ho 0.500 0.257 0.658

Properties
space-group type: No. 26
spin magnetization: 0.0000 μB per atom
energy of formation: 0.052 eV per atom
crystal system: orthorhombic
final energy: -60.177 eV per cell
volume: 34.1 A^3/atom

=====

Record 2
This record from the Alexandria database describes a relaxed Ho3Ag2Pb crystal. The functional is PBE-GGA.

a = 3.714 Å, b = 5.173 Å, c = 8.296 Å
α = 108.16°, β = 90.00°, γ = 90.00°
Atoms (fractional coordinates):
Ho 0.500 0.828 0.655
Ho 0.500 0.172 0.345
Ho 0.500 0.500 0.000
Ag 0.000 0.329 0.657
Ag 0.000 0.671 0.343
Pb 0.000 0.000 0.000

Properties
space-group type: No. 65
spin magnetization: 0.0000 μB per atom
energy of formation: -0.347 eV per atom
crystal system: orthorhombic
final energy: -25.228 eV per cell
volume: 25.2 A^3/atom

=====

Record 3
This record from the Alexandria database describes a relaxed BiTe2Cl2 crystal. The functional is PBE-GGA.

a = 4.415 Å, b = 4.415 Å, c = 7.860 Å
α = 73.69°, β = 73.69°, γ = 90.00°
Atoms (fractional coordinates):
Te 0.603 0.603 0.793
Te 0.397 0.397 0.207
Cl 0.250 0.750 0.500
Cl 0.750 0.250 0.500
Bi 0.000 0.000 0.000

Properties
formation energy from raw total energies: 0.09 eV per atom
space-group type: No. 139
E above lowest polymorph: 539 meV/atom
spin magnetization: 0.0000 μB per atom
crystal system: tetragonal
final energy: -13.430 eV per cell
volume: 28.1 A^3/atom

=====

Record 4
This record from the Alexandria database describes a relaxed BaSrOsBr2 crystal. The functional is PBE-GGA.

a = 5.762 Å, b = 5.762 Å, c = 5.768 Å
α = 90.00°, β = 90.00°, γ = 90.00°
Atoms (fractional coordinates):
Br 0.000 0.500 0.000
Br 0.500 0.000 0.000
Ba 0.500 0.500 0.500
Os 0.000 0.000 0.500
Sr 0.000 0.000 0.000

Properties
formation energy from raw total energies: -0.15 eV per atom
space-group type: No. 123
spin magnetization: 0.4000 μB per atom
crystal system: tetragonal
final energy: -18.929 eV per cell
volume: 38.3 A^3/atom

=====

Record 5
This record from the Alexandria database describes a relaxed PmSm2InN4 crystal. The functional is PBE-GGA.

a = 3.547 Å, b = 6.165 Å, c = 6.174 Å
α = 111.03°, β = 90.00°, γ = 90.00°
Atoms (fractional coordinates):
N 0.000 0.742 0.260
N 0.500 0.243 0.245
N 0.500 0.757 0.755
N 0.000 0.258 0.740
Sm 0.000 0.500 0.500
Sm 0.500 0.000 0.500
In 0.000 0.000 0.000
Pm 0.500 0.500 0.000

Properties
formation energy from raw total energies: -0.99 eV per atom
space-group type: No. 10
spin magnetization: 0.0000 μB per atom
crystal system: monoclinic
final energy: -58.173 eV per cell
volume: 15.8 A^3/atom

=====

Record 6
This record from the Alexandria database describes a relaxed ThFe2B crystal. The functional is PBE-GGA.

a = 3.775 Å, b = 3.775 Å, c = 5.378 Å
α = 69.45°, β = 69.45°, γ = 60.00°
Atoms (fractional coordinates):
Fe 0.690 0.690 0.930
Fe 0.310 0.310 0.070
Th 0.500 0.500 0.500
B 0.000 0.000 0.000

Properties
space-group type: No. 166
spin magnetization: 0.6104 μB per atom
energy of formation: -0.117 eV per atom
crystal system: trigonal
final energy: -31.490 eV per cell
volume: 15.2 A^3/atom

=====

Record 7
This record from the Alexandria database describes a relaxed CsCaBF6 crystal. The functional is PBE-GGA.

a = 5.415 Å, b = 5.415 Å, c = 6.219 Å
α = 90.00°, β = 90.00°, γ = 60.00°
Atoms (fractional coordinates):
F 0.340 0.082 0.654
F 0.340 0.578 0.346
F 0.082 0.578 0.654
F 0.082 0.340 0.346
F 0.578 0.340 0.654
F 0.578 0.082 0.346
Cs 0.000 0.000 0.000
B 0.333 0.333 0.500
Ca 0.667 0.667 0.500

Properties
formation energy from raw total energies: -2.89 eV per atom
space-group type: No. 149
spin magnetization: 0.0000 μB per atom
crystal system: trigonal
final energy: -46.814 eV per cell
volume: 17.5 A^3/atom

=====

Record 8
This record from the Alexandria database describes a relaxed ZrTe2W crystal. The functional is PBE-GGA.

a = 3.323 Å, b = 3.323 Å, c = 8.996 Å
α = 90.00°, β = 90.00°, γ = 116.84°
Atoms (fractional coordinates):
W 0.500 0.500 0.250
Te 0.000 0.000 0.489
Te 0.000 0.000 0.011
Zr 0.500 0.500 0.750

Properties
formation energy from raw total energies: 0.54 eV per atom
space-group type: No. 65
E above lowest polymorph: 669 meV/atom
spin magnetization: 0.0000 μB per atom
crystal system: orthorhombic
final energy: -25.619 eV per cell
volume: 22.2 A^3/atom

=====

Record 9
This record from the Alexandria database describes a relaxed InWI2Br crystal. The functional is PBE-GGA.

a = 5.817 Å, b = 5.283 Å, c = 5.817 Å
α = 90.00°, β = 90.00°, γ = 90.00°
Atoms (fractional coordinates):
In 0.500 0.500 0.500
Br 0.000 0.500 0.000
I 0.000 0.000 0.500
I 0.500 0.000 0.000
W 0.000 0.000 0.000

Properties
formation energy from raw total energies: 0.31 eV per atom
space-group type: No. 123
spin magnetization: 0.7999 μB per atom
crystal system: tetragonal
final energy: -18.900 eV per cell
volume: 35.8 A^3/atom

=====

Record 10
This record from the Alexandria database describes a relaxed TlF crystal. The functional is PBE-GGA.

a = 3.992 Å, b = 8.078 Å, c = 5.776 Å
α = 90.00°, β = 90.00°, γ = 90.00°
Atoms (fractional coordinates):
Tl 0.750 0.611 0.730
Tl 0.250 0.889 0.230
Tl 0.750 0.111 0.770
Tl 0.250 0.389 0.270
F 0.250 0.320 0.838
F 0.750 0.680 0.162
F 0.750 0.180 0.338
F 0.250 0.820 0.662

Properties
formation energy from raw total energies: -1.73 eV per atom
space-group type: No. 62
E above lowest polymorph: 28 meV/atom
spin magnetization: 0.0000 μB per atom
crystal system: orthorhombic
final energy: -30.776 eV per cell
volume: 23.3 A^3/atom

=====

Record 11
This record from the Alexandria database describes a relaxed Ba2VCu2 crystal. The functional is PBE-GGA.

a = 6.261 Å, b = 6.261 Å, c = 5.916 Å
α = 58.05°, β = 58.05°, γ = 90.00°
Atoms (fractional coordinates):
Cu 0.655 0.655 0.691
Cu 0.345 0.345 0.309
V 0.000 0.000 0.000
Ba 0.250 0.750 0.500
Ba 0.750 0.250 0.500

Properties
space-group type: No. 139
E above lowest polymorph: 78 meV/atom
spin magnetization: 0.8964 μB per atom
energy of formation: 0.511 eV per atom
crystal system: tetragonal
final energy: -18.602 eV per cell
volume: 30.8 A^3/atom

=====

Record 12
This record from the Alexandria database describes a relaxed ScNi2Pt crystal. The functional is PBE-GGA.

a = 3.611 Å, b = 2.885 Å, c = 6.205 Å
α = 62.49°, β = 90.00°, γ = 90.00°
Atoms (fractional coordinates):
Sc 0.500 0.741 0.760
Pt 0.000 0.513 0.486
Ni 0.000 0.974 0.026
Ni 0.500 0.272 0.228

Properties
space-group type: No. 6
spin magnetization: 0.1879 μB per atom
energy of formation: -0.481 eV per atom
crystal system: monoclinic
final energy: -25.860 eV per cell
volume: 14.3 A^3/atom

=====

Record 13
This record from the Alexandria database describes a relaxed LiLaHoPd crystal. The functional is PBE-GGA.

a = 5.152 Å, b = 5.152 Å, c = 5.152 Å
α = 60.00°, β = 60.00°, γ = 60.00°
Atoms (fractional coordinates):
Ho 0.250 0.250 0.250
Li 0.000 0.000 0.000
Pd 0.500 0.500 0.500
La 0.750 0.750 0.750

Properties
space-group type: No. 216
spin magnetization: 0.0001 μB per atom
energy of formation: -0.353 eV per atom
crystal system: cubic
final energy: -18.025 eV per cell
volume: 24.2 A^3/atom